## InRe2AgO8 (PBE)

Data for a relaxed structure of InRe2AgO8.

abc: 6.4080 6.4080 6.9864
angles: 90.00 90.00 120.00
Closest atoms and distances in Å follow each position.
Space group P-3m1 (No. 164)
Unique sites:
In 0.0000 0.0000 0.0000  6 O 2.80
Re 0.3333 0.6667 0.3567  4 O 1.73-1.77
Ag 0.0000 0.0000 0.5000  6 O 2.55
O 0.1820 0.3639 0.2776  1 Re 1.77
O 0.3333 0.6667 0.6049  1 Re 1.73

## In2AgRuO8 (PBE)

Data for a relaxed structure of In2AgRuO8.

abc: 4.7947 4.9036 6.7060
angles: 87.80 87.78 86.23
Closest atoms and distances in Å follow each position.
Space group P-1 (No. 2)
Unique sites:
In 0.0307 0.0273 0.2478  6 O 2.13-2.32
Ag 0.5000 0.5000 0.0000  4 O 2.02-2.05
Ru 0.5000 0.5000 0.5000  6 O 1.80-2.00
O 0.2124 0.8197 0.9966  1 Ag 2.02, 2 In 2.13
O 0.2164 0.8038 0.5010  1 Ru 1.95, 2 In 2.17-2.18
O 0.2810 0.3051 0.6680  1 Ru 1.80
O 0.3276 0.3531 0.2637  1 Ru 2.00, 1 Ag 2.05, 1 In 2.22

Number 1: Fermi-level density of states 0.00 states/eV per atom, total moment 0.000 μB/cell, E_form (uncorrected) -1.33 eV/atom. Number 2: Fermi-level density of states 0.29 states/eV per atom, total moment 0.917 μB/cell, E_form (uncorrected) -0.79 eV/atom.